VASP calculation (GGA-PBE) on MnGeP2Cl after structural relaxation.

The value obtained for the relative energy among the computed polymorphs is 0 meV/atom. The calculation puts the raw formation energy at 0.367 eV per atom. The magnetic moment comes out at 1.3 μB per formula unit. Its space-group type is No. 123.

```
data_MnGeP2Cl
_symmetry_space_group_name_H-M 'P 1'
_symmetry_Int_Tables_number 1
_cell_length_a 4.322
_cell_length_b 4.322
_cell_length_c 5.160
_cell_angle_alpha 90.00
_cell_angle_beta 90.00
_cell_angle_gamma 90.00
loop_
_symmetry_equiv_pos_as_xyz
'x,y,z'
loop_
_atom_site_label
_atom_site_type_symbol
_atom_site_fract_x
_atom_site_fract_y
_atom_site_fract_z
_atom_site_occupancy
Mn1 Mn 0.000 0.000 0.000 1
Ge1 Ge 0.500 0.500 0.500 1
P1 P 0.000 0.500 0.000 1
P2 P 0.500 0.000 0.000 1
Cl1 Cl 0.000 0.000 0.500 1
```

VASP calculation (GGA-PBE) on MnGeP2Cl after structural relaxation.

The value obtained for the relative energy among the computed polymorphs is 371 meV/atom. The calculation puts the raw formation energy at 0.737 eV per atom. The magnetic moment comes out at 4.2 μB per formula unit. Its space-group type is No. 123.

```
data_MnGeP2Cl
_symmetry_space_group_name_H-M 'P 1'
_symmetry_Int_Tables_number 1
_cell_length_a 4.714
_cell_length_b 4.714
_cell_length_c 4.787
_cell_angle_alpha 90.00
_cell_angle_beta 90.00
_cell_angle_gamma 90.00
loop_
_symmetry_equiv_pos_as_xyz
'x,y,z'
loop_
_atom_site_label
_atom_site_type_symbol
_atom_site_fract_x
_atom_site_fract_y
_atom_site_fract_z
_atom_site_occupancy
Mn1 Mn 0.000 0.000 0.000 1
Ge1 Ge 0.500 0.500 0.500 1
P1 P 0.000 0.500 0.500 1
P2 P 0.500 0.000 0.500 1
Cl1 Cl 0.500 0.500 0.000 1
```

VASP calculation (GGA-PBE) on RbMnGeCl2 after structural relaxation.

The calculation puts the raw formation energy at 0.522 eV per atom. The magnetic moment comes out at 4.0 μB per formula unit. Its space-group type is No. 123.

```
data_RbMnGeCl2
_symmetry_space_group_name_H-M 'P 1'
_symmetry_Int_Tables_number 1
_cell_length_a 5.768
_cell_length_b 5.768
_cell_length_c 6.177
_cell_angle_alpha 90.00
_cell_angle_beta 90.00
_cell_angle_gamma 90.00
loop_
_symmetry_equiv_pos_as_xyz
'x,y,z'
loop_
_atom_site_label
_atom_site_type_symbol
_atom_site_fract_x
_atom_site_fract_y
_atom_site_fract_z
_atom_site_occupancy
Rb1 Rb 0.000 0.000 0.000 1
Mn1 Mn 0.000 0.000 0.500 1
Ge1 Ge 0.500 0.500 0.500 1
Cl1 Cl 0.000 0.500 0.000 1
Cl2 Cl 0.500 0.000 0.000 1
```

VASP calculation (GGA-PBE) on Rb2MnGeCl6 after structural relaxation.

The calculation puts the raw formation energy at -1.372 eV per atom. The magnetic moment comes out at 5.0 μB per formula unit. Its space-group type is No. 225.

```
data_Rb2MnGeCl6
_symmetry_space_group_name_H-M 'P 1'
_symmetry_Int_Tables_number 1
_cell_length_a 7.342
_cell_length_b 7.342
_cell_length_c 7.342
_cell_angle_alpha 60.00
_cell_angle_beta 60.00
_cell_angle_gamma 60.00
loop_
_symmetry_equiv_pos_as_xyz
'x,y,z'
loop_
_atom_site_label
_atom_site_type_symbol
_atom_site_fract_x
_atom_site_fract_y
_atom_site_fract_z
_atom_site_occupancy
Rb1 Rb 0.250 0.250 0.250 1
Rb2 Rb 0.750 0.750 0.750 1
Mn1 Mn 0.000 0.000 0.000 1
Ge1 Ge 0.500 0.500 0.500 1
Cl1 Cl 0.243 0.243 0.757 1
Cl2 Cl 0.243 0.757 0.243 1
Cl3 Cl 0.243 0.757 0.757 1
Cl4 Cl 0.757 0.243 0.243 1
Cl5 Cl 0.757 0.243 0.757 1
Cl6 Cl 0.757 0.757 0.243 1
```

> Which value of magnetic moment does entry 1 give?

1.3 μB per formula unit